No. 1
Below is a relaxed structure of TbTm2SbO6, with properties calculated at the PBE level.

POSCAR file:
```
TbTm2SbO6
1.0
-0.065 -2.292 2.670
5.218 1.551 1.417
-2.556 5.858 2.882
Tm O Sb Tb
2 6 1 1
direct
0.424 0.488 0.749
0.651 0.534 0.265
0.851 0.657 0.593
0.907 0.200 0.706
0.155 0.780 0.283
0.185 0.274 0.352
0.510 0.767 0.965
0.542 0.285 0.020
0.236 0.986 0.543
0.039 0.030 0.024
```

Output
Calculated volume = 135.23 Å³/cell
VASP energy = -7.6819 eV per atom
SG = P1, No. 1

No. 2
Below is a relaxed structure of Tc2Sb2O5, with properties calculated at the PBE level.

POSCAR file:
```
Tc2Sb2O5
1.0
6.844 0.000 0.000
0.000 3.973 0.000
0.000 0.000 3.973
Tc O Sb
2 5 2
direct
0.175 0.500 0.500
0.825 0.500 0.500
0.500 0.500 0.500
0.755 0.000 0.500
0.245 0.000 0.500
0.245 0.500 0.000
0.755 0.500 0.000
0.500 0.000 0.000
0.000 0.000 0.000
```

Output
Relative energy among the computed polymorphs = 0.000 eV per formula unit
Calculated volume = 108.03 Å³/cell
VASP energy = -6.6166 eV per atom
SG = P4/mmm, No. 123

No. 3
Below is a relaxed structure of Tc2Sb2O5, with properties calculated at the PBE level.

POSCAR file:
```
Tc2Sb2O5
1.0
6.790 0.000 0.000
0.000 4.211 0.000
0.000 0.000 4.211
O Tc Sb
5 2 2
direct
0.199 0.500 0.000
0.199 0.000 0.500
0.801 0.000 0.500
0.500 0.500 0.500
0.801 0.500 0.000
0.500 0.000 0.000
0.000 0.000 0.000
0.208 0.500 0.500
0.792 0.500 0.500
```

Output
Relative energy among the computed polymorphs = 4.750 eV per formula unit
Calculated volume = 120.43 Å³/cell
VASP energy = -6.0888 eV per atom
SG = P4/mmm, No. 123

No. 4
Below is a relaxed structure of Tm3SbO6, with properties calculated at the PBE level.

POSCAR file:
```
Tm3SbO6
1.0
-4.380 2.024 -3.573
-0.325 -1.661 -5.760
-3.387 -7.149 5.766
O Tm Sb
12 6 2
direct
0.347 0.763 0.056
0.781 0.585 0.891
0.585 0.781 0.391
0.225 0.085 0.781
0.915 0.775 0.719
0.415 0.219 0.609
0.653 0.237 0.944
0.085 0.225 0.281
0.219 0.415 0.109
0.237 0.653 0.444
0.763 0.347 0.556
0.775 0.915 0.219
0.183 0.516 0.880
0.817 0.484 0.120
0.484 0.817 0.620
0.516 0.183 0.380
0.198 0.802 0.250
0.802 0.198 0.750
0.500 0.000 0.000
0.000 0.500 0.500
```

Output
Calculated volume = 277.43 Å³/cell
VASP energy = -7.5789 eV per atom
SG = C2/c, No. 15

No. 5
Below is a relaxed structure of YTm2SbO6, with properties calculated at the PBE level.

POSCAR file:
```
YTm2SbO6
1.0
-1.350 -3.012 1.143
3.809 -0.336 4.158
-4.849 1.934 4.681
Y Tm Sb O
1 2 1 6
direct
0.964 0.970 0.023
0.614 0.511 0.748
0.333 0.465 0.266
0.670 0.011 0.544
0.479 0.716 0.021
0.831 0.217 0.284
0.484 0.233 0.965
0.145 0.805 0.703
0.195 0.349 0.592
0.785 0.724 0.355
```

Output
Calculated volume = 133.95 Å³/cell
VASP energy = -7.8546 eV per atom
SG = P1, No. 1

No. 6
Below is a relaxed structure of Tm2ZrSbO6, with properties calculated at the PBE level.

POSCAR file:
```
Tm2ZrSbO6
1.0
-4.530 2.579 -0.275
-1.299 -2.959 -4.349
0.424 -3.106 5.212
O Tm Sb Zr
6 2 1 1
direct
0.180 0.672 0.798
0.068 0.144 0.752
0.937 0.390 0.245
0.815 0.876 0.207
0.358 0.055 0.332
0.639 0.719 0.670
0.218 0.800 0.493
0.780 0.306 0.506
0.500 0.527 0.991
0.001 0.006 0.001
```

Output
Calculated volume = 142.31 Å³/cell
VASP energy = -8.0147 eV per atom
SG = P1, No. 1

No. 7
Below is a relaxed structure of Zn2Sb2O5, with properties calculated at the PBE level.

POSCAR file:
```
Zn2Sb2O5
1.0
-2.539 -2.411 6.008
3.653 -1.737 0.847
1.207 3.465 1.901
Zn O Sb
2 5 2
direct
0.500 0.000 0.000
0.000 0.000 0.000
0.801 0.500 0.000
0.199 0.500 0.000
0.801 0.000 0.500
0.199 0.000 0.500
0.500 0.500 0.500
0.215 0.500 0.500
0.785 0.500 0.500
```

Output
Calculated volume = 118.74 Å³/cell
VASP energy = -4.7079 eV per atom
SG = P4/mmm, No. 123

No. 8
Below is a relaxed structure of Zn2SbO4, with properties calculated at the PBE level.

POSCAR file:
```
Zn2SbO4
1.0
0.768 5.872 -1.848
4.938 -3.470 1.437
-3.240 -1.199 -5.153
O Sb Zn
8 2 4
direct
0.133 0.267 0.400
0.133 0.267 0.867
0.617 0.233 0.383
0.600 0.733 0.867
0.617 0.767 0.383
0.617 0.233 0.850
0.133 0.733 0.867
0.150 0.767 0.383
0.000 0.000 0.000
0.750 0.500 0.250
0.375 0.250 0.625
0.875 0.250 0.625
0.375 0.750 0.625
0.375 0.750 0.125
```

Output
Calculated volume = 168.86 Å³/cell
VASP energy = -5.0272 eV per atom
SG = Fd-3m, No. 227